1.
Os2PbN | PBE | relaxed

Lattice parameters (Å, degrees): 5.581 5.581 6.098 62.77 62.77 90.00
Positions (direct):
Pb1 0.000 0.000 0.000
Pb2 0.750 0.250 0.500
Os1 0.493 0.125 0.250
Os2 0.257 0.625 0.250
Os3 0.375 0.507 0.750
Os4 0.875 0.743 0.750
N1 0.500 0.500 0.000
N2 0.250 0.750 0.500

Properties
Energy above the most stable polymorph in this dataset (meV per atom): 0
Spin magnetization (μB per formula unit): 0.00
Crystal system: tetragonal
Energy relative to the elements, uncorrected (meV per atom): 918
D(E_F) (states/eV per cell): 6.11


2.
ReOs2PbN | PBE | relaxed

Lattice parameters (Å, degrees): 4.183 4.193 4.183 90.00 90.00 90.00
Positions (direct):
Pb1 0.500 0.500 0.500
Re1 0.000 0.500 0.000
Os1 0.000 0.000 0.500
Os2 0.500 0.000 0.000
N1 0.000 0.000 0.000

Properties
Spin magnetization (μB per formula unit): 0.00
Crystal system: tetragonal
Energy relative to the elements, uncorrected (meV per atom): 973
D(E_F) (states/eV per cell): 4.23


3.
OsPbS2N | PBE | relaxed

Lattice parameters (Å, degrees): 5.182 5.182 4.225 90.00 90.00 90.00
Each line ends with the local moment (μB).
Positions (direct):
Pb1 0.000 0.000 0.000  -0.03
S1 0.000 0.500 0.000  0.17
S2 0.500 0.000 0.000  0.17
Os1 0.500 0.500 0.500  3.31
N1 0.000 0.000 0.500  0.85

Properties
Energy above the most stable polymorph in this dataset (meV per atom): 2007
Spin magnetization (μB per formula unit): 5.43
Crystal system: tetragonal
Energy relative to the elements, uncorrected (meV per atom): 2162
D(E_F) (states/eV per cell): 3.75


Number 1: volume 145 Å³/cell. Number 2: volume 73 Å³/cell. Number 3: volume 113 Å³/cell.